a) TiIr2Cl (GGA-PBE, optimized geometry); SG = No. 225; magnetic moment = 0.00 μB per cell; calculated volume = 15.64 Å³/atom
1.0
-3.596 -1.974 1.742
-3.428 -1.101 -2.625
-0.840 -4.285 -0.888
Ir Ti Cl
2 1 1
Direct
0.750 0.750 0.750 Ir
0.250 0.250 0.250 Ir
0.500 0.500 0.500 Ti
0.000 0.000 0.000 Cl



b) TiIr2Cl (GGA-PBE, optimized geometry); SG = No. 122; magnetic moment = 0.00 μB per cell; calculated volume = 20.98 Å³/atom
1.0
5.420 0.000 0.000
0.000 5.420 0.000
2.710 2.710 5.711
Ir Ti Cl
4 2 2
Direct
0.375 0.390 0.750 Ir
0.875 0.860 0.750 Ir
0.140 0.625 0.250 Ir
0.610 0.125 0.250 Ir
0.750 0.250 0.500 Ti
0.000 0.000 0.000 Ti
0.250 0.750 0.500 Cl
0.500 0.500 0.000 Cl



Most stable of them? a).